Below is crystalline CrCoO at its relaxed geometry, with properties calculated at the PBE+U level.

Computed properties:
For the energy above the most stable polymorph in this dataset, the calculation gives 29.3 kJ per mole of atoms. As for the magnetic moment: 11.98 μB/cell.

Cell and atoms, written as extended XYZ:
```
6
Lattice="2.897 0.000 0.000 0.023 5.002 0.000 1.436 1.099 4.984" Properties=species:S:1:pos:R:3 pbc="T T T"
Cr 0.000 0.000 0.000
Cr 1.477 2.642 2.493
Co 2.906 3.571 4.651
Co 2.925 5.183 2.732
O 1.473 4.422 1.320
O 2.914 1.898 1.276
```